# 1
{"formula": "KRhPb3", "functional": "GGA-PBE", "state": "relaxed", "lattice_angstrom": [[6.357, 0.000, 0.000], [0.005, 6.964, 0.000], [0.099, 3.479, 6.756]], "species": ["K", "K", "Rh", "Rh", "Pb", "Pb", "Pb", "Pb", "Pb", "Pb"], "frac_coords": [[0.011, 0.143, 0.213], [0.989, 0.857, 0.787], [0.289, 0.617, 0.266], [0.711, 0.383, 0.734], [0.141, 0.401, 0.699], [0.499, 0.228, 0.500], [0.500, 0.000, 0.000], [0.500, 0.500, 0.000], [0.501, 0.772, 0.500], [0.859, 0.599, 0.301]], "e_above_lowest_polymorph_mev_per_atom": 44.6, "mass_density_g_cm3": 8.478, "formation_enthalpy_0k_ev_per_atom": -0.064, "total_magnetization_mub_per_atom": 0.000}



# 2
{"formula": "KRhPb", "functional": "GGA-PBE", "state": "relaxed", "lattice_angstrom": [[0.000, 3.443, 3.443], [3.443, 0.000, 3.443], [3.443, 3.443, 0.000]], "species": ["K", "Rh", "Pb"], "frac_coords": [[0.000, 0.000, 0.000], [0.250, 0.250, 0.250], [0.500, 0.500, 0.500]], "mass_density_g_cm3": 7.107, "formation_enthalpy_0k_ev_per_atom": 0.324, "total_magnetization_mub_per_atom": 0.000}



# 3
{"formula": "KRh2Pb2", "functional": "GGA-PBE", "state": "relaxed", "lattice_angstrom": [[-2.413, 2.413, 5.381], [2.413, -2.413, 5.381], [2.413, 2.413, -5.381]], "species": ["K", "Rh", "Rh", "Pb", "Pb"], "frac_coords": [[0.000, 0.000, 0.000], [0.383, 0.383, 0.000], [0.617, 0.617, 0.000], [0.250, 0.750, 0.500], [0.750, 0.250, 0.500]], "e_above_lowest_polymorph_mev_per_atom": 126.3, "mass_density_g_cm3": 8.734, "formation_enthalpy_0k_ev_per_atom": 0.064, "total_magnetization_mub_per_atom": 0.000}



# 4
{"formula": "KRhPb3", "functional": "GGA-PBE", "state": "relaxed", "lattice_angstrom": [[5.753, 0.000, 0.000], [0.000, 5.753, 0.000], [0.000, 0.000, 5.753]], "species": ["K", "Rh", "Pb", "Pb", "Pb"], "frac_coords": [[0.000, 0.000, 0.000], [0.500, 0.500, 0.500], [0.000, 0.000, 0.500], [0.000, 0.500, 0.000], [0.500, 0.000, 0.000]], "e_above_lowest_polymorph_mev_per_atom": 1681.9, "mass_density_g_cm3": 6.659, "formation_enthalpy_0k_ev_per_atom": 1.573, "total_magnetization_mub_per_atom": 0.159}